## Ce2MgGe3Rh4 (GGA-PBE)

Data for Ce2MgGe3Rh4 after structural relaxation.

The calculated formation energy comes out at -0.812 eV/atom.

It has space group P-4m2 (No. 115), with a = 4.1363 Å, b = 4.1363 Å, c = 10.8106 Å, α = 90.00°, β = 90.00° and γ = 90.00°. The distinct sites, in fractional coordinates, are Ce at (0.0000, 0.5000, 0.2479), Mg at (0.0000, 0.0000, 0.5000), Ge at (0.0000, 0.5000, 0.8739), Ge at (0.5000, 0.5000, 0.5000), Rh at (0.0000, 0.0000, 0.0000), Rh at (0.0000, 0.5000, 0.6472) and Rh at (0.5000, 0.5000, 0.0000).

## NdYAgBi (GGA-PBE)

Data for NdYAgBi after structural relaxation.

The calculated formation energy comes out at -0.465 eV/atom.

It has space group F-43m (No. 216), with a = 7.6095 Å, b = 7.6095 Å, c = 7.6095 Å, α = 90.00°, β = 90.00° and γ = 90.00°. The distinct sites, in fractional coordinates, are Nd at (0.0000, 0.0000, 0.0000), Y at (0.0000, 0.0000, 0.5000), Ag at (0.2500, 0.2500, 0.7500) and Bi at (0.2500, 0.2500, 0.2500).

## SrCeHo2As4 (GGA-PBE)

Data for SrCeHo2As4 after structural relaxation.

The calculated formation energy comes out at -1.371 eV/atom.

It has space group P2/m (No. 10), with a = 7.2859 Å, b = 4.2106 Å, c = 7.2950 Å, α = 90.00°, β = 109.01° and γ = 90.00°. The distinct sites, in fractional coordinates, are Sr at (0.0000, 0.0000, 0.0000), Ce at (0.5000, 0.5000, 0.0000), Ho at (0.0000, 0.5000, 0.5000), Ho at (0.5000, 0.0000, 0.5000), As at (0.2557, 0.0000, 0.7413) and As at (0.2670, 0.5000, 0.2638).

## BOs2Pd (GGA-PBE)

Data for BOs2Pd after structural relaxation.

The calculated formation energy comes out at 0.988 eV/atom.

It has space group I-42d (No. 122), with a = 4.3487 Å, b = 4.3487 Å, c = 13.7817 Å, α = 90.00°, β = 90.00° and γ = 90.00°. The distinct sites, in fractional coordinates, are B at (0.0000, 0.0000, 0.0000), Os at (0.1315, 0.2500, 0.1250) and Pd at (0.0000, 0.0000, 0.5000).

## LiMg2Ga10 (GGA-PBE)

Data for LiMg2Ga10 after structural relaxation.

The calculated formation energy comes out at 0.047 eV/atom.

It has space group Pbam (No. 55), with a = 6.6753 Å, b = 16.9776 Å, c = 5.2268 Å, α = 90.00°, β = 90.00° and γ = 90.00°. The distinct sites, in fractional coordinates, are Li at (0.0000, 0.0000, 0.0000), Mg at (0.0897, 0.0901, 0.5000), Ga at (0.0615, 0.8452, 0.0000), Ga at (0.0735, 0.2951, 0.0000), Ga at (0.1714, 0.4460, 0.2601) and Ga at (0.1870, 0.5945, 0.0000).

## BeNbMo (GGA-PBE)

Data for BeNbMo after structural relaxation.

The calculated formation energy comes out at 0.060 eV/atom. The calculation puts the energy above the most stable polymorph in this dataset at 177.2 meV/atom.

It has space group I4mm (No. 107), with a = 3.2819 Å, b = 3.2819 Å, c = 8.1647 Å, α = 90.00°, β = 90.00° and γ = 90.00°. The distinct sites, in fractional coordinates, are Be at (0.0000, 0.0000, 0.0000), Nb at (0.0000, 0.0000, 0.3287) and Mo at (0.0000, 0.0000, 0.6501).

## RbSnS3 (GGA-PBE)

Data for RbSnS3 after structural relaxation.

The calculation puts the total energy at -2.45 eV/atom.

It has space group Pm-3m (No. 221), with a = 5.3879 Å, b = 5.3879 Å, c = 5.3879 Å, α = 90.00°, β = 90.00° and γ = 90.00°. The distinct sites, in fractional coordinates, are Rb at (0.0000, 0.0000, 0.0000), Sn at (0.5000, 0.5000, 0.5000) and S at (0.0000, 0.0000, 0.5000).

## Sm2Tm2Sn3 (GGA-PBE)

Data for Sm2Tm2Sn3 after structural relaxation.

The calculated formation energy comes out at -0.511 eV/atom.

It has space group P-1 (No. 2), with a = 4.9586 Å, b = 5.9197 Å, c = 8.5688 Å, α = 98.48°, β = 90.06° and γ = 114.75°. The distinct sites, in fractional coordinates, are Sm at (0.1295, 0.2578, 0.3498), Tm at (0.3540, 0.7078, 0.0695), Sn at (0.0000, 0.0000, 0.0000) and Sn at (0.1951, 0.3914, 0.7214).

## RbInGaS4 (GGA-PBE)

Data for RbInGaS4 after structural relaxation.

The calculation puts the total energy at -3.95 eV/atom.

It has space group P2_1/m (No. 11), with a = 6.5448 Å, b = 6.3726 Å, c = 9.8864 Å, α = 90.00°, β = 104.15° and γ = 90.00°. The distinct sites, in fractional coordinates, are Rb at (0.2386, 0.2500, 0.0599), In at (0.2860, 0.2500, 0.6688), Ga at (0.2110, 0.7500, 0.3134), S at (0.0294, 0.5181, 0.7080), S at (0.3841, 0.7500, 0.1372) and S at (0.4985, 0.7500, 0.5091).

## ZrI3Br (GGA-PBE)

Data for ZrI3Br after structural relaxation.

The calculation puts the energy above the most stable polymorph in this dataset at 14.7 meV/atom.

It has space group Pmn2_1 (No. 31), with a = 8.1931 Å, b = 7.8635 Å, c = 6.7437 Å, α = 90.00°, β = 90.00° and γ = 90.00°. The distinct sites, in fractional coordinates, are Zr at (0.0000, 0.0067, 0.0000), I at (0.0000, 0.2961, 0.2312), I at (0.2459, 0.8331, 0.2564) and Br at (0.0000, 0.7383, 0.7908).

## Y3C4 (GGA-PBE)

Data for Y3C4 after structural relaxation.

The calculated formation energy comes out at 0.633 eV/atom. The calculation puts the energy above the most stable polymorph in this dataset at 949.6 meV/atom.

It has space group P6/mmm (No. 191), with a = 6.6526 Å, b = 6.6526 Å, c = 2.9710 Å, α = 90.00°, β = 90.00° and γ = 120.00°. The distinct sites, in fractional coordinates, are Y at (0.0000, 0.5000, 0.0000), C at (0.0000, 0.0000, 0.2492) and C at (0.3333, 0.6667, 0.5000).

## HfBiSeN2 (GGA-PBE)

Data for HfBiSeN2 after structural relaxation.

The calculation puts the energy above the most stable polymorph in this dataset at 1252.3 meV/atom.

It has space group P4/mmm (No. 123), with a = 4.2348 Å, b = 4.2348 Å, c = 5.3932 Å, α = 90.00°, β = 90.00° and γ = 90.00°. The distinct sites, in fractional coordinates, are Hf at (0.0000, 0.0000, 0.0000), Bi at (0.5000, 0.5000, 0.5000), Se at (0.5000, 0.5000, 0.0000) and N at (0.0000, 0.5000, 0.5000).

## Y2BiPt (GGA-PBE)

Data for Y2BiPt after structural relaxation.

The calculated formation energy comes out at -0.902 eV/atom.

It has space group R-3m (No. 166, hexagonal axes), with a = 4.3208 Å, b = 4.3208 Å, c = 20.7966 Å, α = 90.00°, β = 90.00° and γ = 120.00°. The distinct sites, in fractional coordinates, are Y at (0.0000, 0.0000, 0.2389), Bi at (0.0000, 0.0000, 0.0000) and Pt at (0.0000, 0.0000, 0.5000).

## HgH2I2 (GGA-PBE)

Data for HgH2I2 after structural relaxation.

The calculation puts the energy above the most stable polymorph in this dataset at 437.9 meV/atom.

It has space group I4/mmm (No. 139), with a = 3.9899 Å, b = 3.9899 Å, c = 13.6788 Å, α = 90.00°, β = 90.00° and γ = 90.00°. The distinct sites, in fractional coordinates, are Hg at (0.0000, 0.0000, 0.0000), H at (0.0000, 0.5000, 0.2500) and I at (0.0000, 0.0000, 0.3430).

## VCr2Ga2 (GGA-PBE)

Data for VCr2Ga2 after structural relaxation.

The calculated formation energy comes out at 0.237 eV/atom. The calculation puts the energy above the most stable polymorph in this dataset at 304.7 meV/atom.

It has space group P4/mbm (No. 127), with a = 7.1464 Å, b = 7.1464 Å, c = 2.7048 Å, α = 90.00°, β = 90.00° and γ = 90.00°. The distinct sites, in fractional coordinates, are V at (0.0000, 0.0000, 0.0000), Cr at (0.1061, 0.3939, 0.0000) and Ga at (0.1884, 0.6884, 0.5000).

## MgCo2Tc (GGA-PBE)

Data for MgCo2Tc after structural relaxation.

The calculated formation energy comes out at 0.162 eV/atom.

It has space group P4mm (No. 99), with a = 2.6601 Å, b = 2.6601 Å, c = 7.5569 Å, α = 90.00°, β = 90.00° and γ = 90.00°. The distinct sites, in fractional coordinates, are Mg at (0.0000, 0.0000, 0.0000), Co at (0.0000, 0.0000, 0.5343), Co at (0.5000, 0.5000, 0.7383) and Tc at (0.5000, 0.5000, 0.2974).

## Fe2CoMoN (GGA-PBE)

Data for Fe2CoMoN after structural relaxation.

The calculation puts the total energy at -8.61 eV/atom.

It has space group P4/mmm (No. 123), with a = 3.7387 Å, b = 3.7387 Å, c = 4.0465 Å, α = 90.00°, β = 90.00° and γ = 90.00°. The distinct sites, in fractional coordinates, are Fe at (0.0000, 0.5000, 0.0000), Co at (0.0000, 0.0000, 0.5000), Mo at (0.5000, 0.5000, 0.5000) and N at (0.5000, 0.5000, 0.0000).

## Rb2V2Cl (GGA-PBE)

Data for Rb2V2Cl after structural relaxation.

The calculation puts the energy above the most stable polymorph in this dataset at 50.0 meV/atom.

It has space group I4/mmm (No. 139), with a = 7.1892 Å, b = 7.1892 Å, c = 7.0199 Å, α = 90.00°, β = 90.00° and γ = 90.00°. The distinct sites, in fractional coordinates, are Rb at (0.0000, 0.5000, 0.2500), V at (0.0000, 0.0000, 0.1267) and Cl at (0.0000, 0.0000, 0.5000).